Sc6BiSb3As2: optimized geometry, PBE-GGA.

Lattice parameters (Å, degrees): 9.125 9.125 8.208 102.74 102.74 25.75
Element x y z (fractional)
1 Sc 0.010 0.010 0.261
2 Sc 0.327 0.327 0.897
3 Sc 0.328 0.328 0.427
4 Sc 0.672 0.672 0.573
5 Sc 0.673 0.673 0.103
6 Sc 0.990 0.990 0.739
7 Bi 0.500 0.500 0.000
8 Sb 0.161 0.161 0.832
9 Sb 0.500 0.500 0.500
10 Sb 0.839 0.839 0.168
11 As 0.169 0.169 0.336
12 As 0.831 0.831 0.664

Uncorrected formation energy ... -1016 meV per atom

=====

ScSiIr4: optimized geometry, PBE-GGA.

Lattice parameters (Å, degrees): 5.205 5.205 5.205 60.00 60.00 60.00
Element x y z (fractional)
1 Sc 0.000 0.000 0.000
2 Si 0.750 0.750 0.750
3 Ir 0.375 0.375 0.375
4 Ir 0.375 0.375 0.874
5 Ir 0.375 0.874 0.375
6 Ir 0.874 0.375 0.375

Uncorrected formation energy ... -115 meV per atom

=====

Ta2WBr: optimized geometry, PBE-GGA.

Lattice parameters (Å, degrees): 2.929 4.539 5.483 90.00 90.00 90.00
Element x y z (fractional)
1 Ta 0.000 0.000 0.000
2 Ta 0.500 0.500 0.256
3 W 0.000 0.000 0.472
4 Br 0.500 0.500 0.759

Uncorrected formation energy ... 703 meV per atom

=====

KNa4Ca: optimized geometry, PBE-GGA.

Lattice parameters (Å, degrees): 6.071 6.071 8.268 90.00 90.00 120.00
Element x y z (fractional)
1 K 0.000 0.000 0.000
2 Na 0.333 0.667 0.283
3 Na 0.333 0.667 0.717
4 Na 0.667 0.333 0.283
5 Na 0.667 0.333 0.717
6 Ca 0.000 0.000 0.500

Formation enthalpy at 0 K ... 7.1 kJ per mole of atoms

=====

CeSm3: optimized geometry, PBE-GGA.

Lattice parameters (Å, degrees): 6.257 6.257 6.257 132.01 132.01 70.22
Element x y z (fractional)
1 Ce 0.000 0.000 0.000
2 Sm 0.250 0.750 0.500
3 Sm 0.500 0.500 0.000
4 Sm 0.750 0.250 0.500

Formation enthalpy at 0 K ... 8.6 kJ per mole of atoms

=====

NaPr2Te4Pb: optimized geometry, PBE-GGA.

Lattice parameters (Å, degrees): 7.816 4.521 8.122 90.00 108.59 90.00
Element x y z (fractional)
1 Na 0.000 0.000 0.000
2 Pr 0.000 0.500 0.500
3 Pr 0.500 0.000 0.500
4 Te 0.248 0.000 0.749
5 Te 0.251 0.500 0.254
6 Te 0.749 0.500 0.746
7 Te 0.752 0.000 0.251
8 Pb 0.500 0.500 0.000

Uncorrected formation energy ... -1092 meV per atom

=====

Sr3EuGe: optimized geometry, PBE-GGA.

Lattice parameters (Å, degrees): 6.216 6.216 6.216 90.00 90.00 90.00
Element x y z (fractional)
1 Sr 0.000 0.000 0.500
2 Sr 0.000 0.500 0.000
3 Sr 0.500 0.000 0.000
4 Eu 0.500 0.500 0.500
5 Ge 0.000 0.000 0.000

Formation enthalpy at 0 K ... -16.2 kJ per mole of atoms

=====

AlZnPt2: optimized geometry, PBE-GGA.

Lattice parameters (Å, degrees): 5.358 5.358 5.358 43.50 43.50 43.50
Element x y z (fractional)
1 Al 0.000 0.000 0.000
2 Zn 0.181 0.181 0.181
3 Pt 0.410 0.410 0.410
4 Pt 0.604 0.604 0.604

Formation enthalpy at 0 K ... -58.7 kJ per mole of atoms